# HoAl3Pb2O8 SCAN PBEsol geometry
data_HoAl3Pb2O8
_cell_length_a 9.424
_cell_length_b 9.424
_cell_length_c 9.424
_cell_angle_alpha 90.00
_cell_angle_beta 90.00
_cell_angle_gamma 90.00
_symmetry_space_group_name_H-M 'P n -3 m'
_symmetry_Int_Tables_number 224
loop_
_symmetry_equiv_pos_as_xyz
'x,y,z'
'-x,-y,-z'
'-y,x+1/2,z+1/2'
'y,-x+1/2,-z+1/2'
'-x+1/2,-y+1/2,z'
'x+1/2,y+1/2,-z'
'y+1/2,-x,z+1/2'
'-y+1/2,x,-z+1/2'
'x,-y+1/2,-z+1/2'
'-x,y+1/2,z+1/2'
'-y,-x,-z'
'y,x,z'
'-x+1/2,y,-z+1/2'
'x+1/2,-y,z+1/2'
'y+1/2,x+1/2,-z'
'-y+1/2,-x+1/2,z'
'z,x,y'
'-z,-x,-y'
'z+1/2,-y,x+1/2'
'-z+1/2,y,-x+1/2'
'z,-x+1/2,-y+1/2'
'-z,x+1/2,y+1/2'
'z+1/2,y+1/2,-x'
'-z+1/2,-y+1/2,x'
'-z+1/2,x,-y+1/2'
'z+1/2,-x,y+1/2'
'-z,-y,-x'
'z,y,x'
'-z+1/2,-x+1/2,y'
'z+1/2,x+1/2,-y'
'-z,y+1/2,x+1/2'
'z,-y+1/2,-x+1/2'
'y,z,x'
'-y,-z,-x'
'x+1/2,z+1/2,-y'
'-x+1/2,-z+1/2,y'
'-y+1/2,z,-x+1/2'
'y+1/2,-z,x+1/2'
'-x,z+1/2,y+1/2'
'x,-z+1/2,-y+1/2'
'-y+1/2,-z+1/2,x'
'y+1/2,z+1/2,-x'
'-x,-z,-y'
'x,z,y'
'y,-z+1/2,-x+1/2'
'-y,z+1/2,x+1/2'
'x+1/2,-z,y+1/2'
'-x+1/2,z,-y+1/2'
loop_
_atom_site_label
_atom_site_type_symbol
_atom_site_fract_x
_atom_site_fract_y
_atom_site_fract_z
Ho1 Ho 0.000 0.000 0.000
Al1 Al 0.000 0.250 0.750
Pb1 Pb 0.116 0.116 0.384
O1 O 0.089 0.089 0.766
O2 O 0.137 0.137 0.137
# V = 14.946 A^3/atom
# D(E_F) = 0.000 states/eV/atom
# ΔE_f (raw) = -2.820 eV per atom